Material: TiBe2Fe2
Method: DFT, PBE
State: optimized geometry

Structure (extended XYZ):
```
10
Lattice="6.636 0.000 0.000 0.000 6.636 0.000 0.000 0.000 2.457" Properties=species:S:1:pos:R:3 pbc="T T T"
Ti 0.000 0.000 0.000
Ti 3.318 3.318 0.000
Be 1.126 2.192 1.229
Be 2.192 5.510 1.229
Be 4.444 1.126 1.229
Be 5.510 4.444 1.229
Fe 0.837 4.155 0.000
Fe 2.481 0.837 0.000
Fe 4.155 5.799 0.000
Fe 5.799 2.481 0.000
```

Values from the calculation:
Total magnetization   5.36 μB/cell
Electronic total energy   -6.541 eV per atom
SG   P4/mbm
DOS at the Fermi energy   8.07 states/eV/cell



Material: Ti5BeFe4
Method: DFT, PBE
State: optimized geometry

Structure (extended XYZ):
```
10
Lattice="2.954 0.000 0.000 0.000 2.954 0.000 0.000 0.000 14.686" Properties=species:S:1:pos:R:3 pbc="T T T"
Ti 0.000 0.000 0.000
Ti 0.000 0.000 2.951
Ti 0.000 0.000 5.895
Ti 0.000 0.000 8.790
Ti 0.000 0.000 11.735
Be 1.477 1.477 7.343
Fe 1.477 1.477 1.480
Fe 1.477 1.477 4.444
Fe 1.477 1.477 10.242
Fe 1.477 1.477 13.206
```

Values from the calculation:
Total magnetization   0.00 μB/cell
Electronic total energy   -8.065 eV per atom
SG   P4/mmm
DOS at the Fermi energy   3.42 states/eV/cell



Material: Ti2Be15Fe2
Method: DFT, PBE
State: optimized geometry

Structure (extended XYZ):
```
19
Lattice="3.736 2.157 3.568 -3.736 2.157 3.568 0.000 -4.314 3.568" Properties=species:S:1:pos:R:3 pbc="T T T"
Ti 0.000 0.000 1.728
Ti 0.000 0.000 8.974
Be -1.868 -1.079 3.568
Be 0.000 -2.160 3.432
Be -1.871 1.080 3.432
Be -1.079 -1.868 5.351
Be -2.157 0.000 5.351
Be -1.871 -1.080 7.270
Be -1.868 1.079 7.135
Be 1.079 -1.868 5.351
Be 0.000 2.157 3.568
Be -1.079 1.868 5.351
Be 1.871 1.080 3.432
Be 2.157 0.000 5.351
Be 1.079 1.868 5.351
Be 1.871 -1.080 7.270
Be 0.000 2.160 7.270
Fe 0.000 0.000 4.259
Fe 0.000 0.000 6.444
```

Values from the calculation:
Total magnetization   1.17 μB/cell
Electronic total energy   -4.876 eV per atom
SG   R-3m
DOS at the Fermi energy   6.36 states/eV/cell



Material: Ti3BeFe4
Method: DFT, PBE
State: optimized geometry

Structure (extended XYZ):
```
8
Lattice="2.924 0.000 0.000 0.000 2.924 0.000 0.000 0.000 11.220" Properties=species:S:1:pos:R:3 pbc="T T T"
Ti 0.000 0.000 0.000
Ti 0.000 0.000 2.989
Ti 0.000 0.000 8.231
Be 0.000 0.000 5.610
Fe 1.462 1.462 1.474
Fe 1.462 1.462 4.449
Fe 1.462 1.462 6.771
Fe 1.462 1.462 9.746
```

Values from the calculation:
Total magnetization   1.23 μB/cell
Electronic total energy   -7.966 eV per atom
SG   P4/mmm
DOS at the Fermi energy   5.51 states/eV/cell



Material: Ti4Be2Fe
Method: DFT, PBE
State: optimized geometry

Structure (extended XYZ):
```
7
Lattice="-2.219 2.219 5.852 2.219 -2.219 5.852 2.219 2.219 -5.852" Properties=species:S:1:pos:R:3 pbc="T T T"
Ti 2.219 0.000 0.000
Ti 0.000 0.000 2.257
Ti 0.000 2.219 0.000
Ti 0.000 0.000 9.447
Be 0.000 0.000 4.669
Be 0.000 0.000 7.035
Fe 0.000 0.000 0.000
```

Values from the calculation:
Total magnetization   0.00 μB/cell
Electronic total energy   -6.308 eV per atom
SG   I4/mmm
DOS at the Fermi energy   6.25 states/eV/cell



Material: TiBeFe3
Method: DFT, PBE
State: optimized geometry

Structure (extended XYZ):
```
5
Lattice="3.910 0.000 0.000 0.000 3.910 0.000 0.000 0.000 3.910" Properties=species:S:1:pos:R:3 pbc="T T T"
Ti 0.000 0.000 0.000
Be 1.955 1.955 1.955
Fe 0.000 1.955 1.955
Fe 1.955 0.000 1.955
Fe 1.955 1.955 0.000
```

Values from the calculation:
Total magnetization   4.00 μB/cell
Electronic total energy   -7.170 eV per atom
SG   Pm-3m
DOS at the Fermi energy   3.62 states/eV/cell



> What is the formula in the second record?

Ti5BeFe4



> Which value of total magnetization does entry 5 give?

0.00 μB/cell